This record from Alexandria describes crystalline AcFePb2O4 at its relaxed geometry. The functional is PBE+U.

Calculated values
The space group is Cmcm. The spin magnetization is 3.98 μB per formula unit. The value obtained for the total energy is -49.54 eV/f.u.

Lattice parameters (Å, degrees): 3.5013 6.5279 13.3734 90.00 90.00 105.56
Closest atoms and distances in Å follow each position.
Positions (direct):
Ac (0.9571, 0.9141, 0.2500)  4 O 2.50
Fe (0.7783, 0.5565, 0.7500)  4 O 2.09-2.13
O (0.0000, 0.0000, 0.0000)  4 Pb 2.45
O (0.3687, 0.7373, 0.7500)  2 Fe 2.09
O (0.6313, 0.2627, 0.2500)  2 Fe 2.09
Pb (0.6351, 0.2702, 0.4841)  3 O 2.29-2.45
O (0.6420, 0.2841, 0.6551)  1 Fe 2.13, 1 Pb 2.29
Fe (0.2217, 0.4435, 0.2500)  4 O 2.09-2.13
O (0.3580, 0.7159, 0.1551)  1 Fe 2.13, 1 Pb 2.29
O (0.0000, 0.0000, 0.5000)  4 Pb 2.45
Pb (0.6351, 0.2702, 0.0159)  3 O 2.29-2.45
O (0.3580, 0.7159, 0.3449)  1 Fe 2.13, 1 Pb 2.29
Pb (0.3649, 0.7298, 0.5159)  3 O 2.29-2.45
Ac (0.0429, 0.0859, 0.7500)  4 O 2.50
Pb (0.3649, 0.7298, 0.9841)  3 O 2.29-2.45
O (0.6420, 0.2841, 0.8449)  1 Fe 2.13, 1 Pb 2.29